(1)
Below is an optimized crystal structure of TmScBeNi, with properties calculated at the PBE level.

Computed properties:
E_form: -0.20 eV/atom
magnetic moment: 0.0 μB per cell

```
TmScBeNi
1.0
0.0000 3.2636 3.2636
3.2636 0.0000 3.2636
3.2636 3.2636 0.0000
Tm Sc Be Ni
1 1 1 1
direct
0.0000 0.0000 0.0000
0.5000 0.5000 0.5000
0.2500 0.2500 0.2500
0.7500 0.7500 0.7500
```

***

(2)
Below is an optimized crystal structure of ScBeZnNi, with properties calculated at the PBE level.

Computed properties:
E_form: -0.21 eV/atom
magnetic moment: 0.0 μB per cell

```
ScBeZnNi
1.0
0.0000 3.0058 3.0058
3.0058 0.0000 3.0058
3.0058 3.0058 0.0000
Sc Be Zn Ni
1 1 1 1
direct
0.0000 0.0000 0.0000
0.2500 0.2500 0.2500
0.5000 0.5000 0.5000
0.7500 0.7500 0.7500
```

***

(3)
Below is an optimized crystal structure of Sc2Be2ZnNi5, with properties calculated at the PBE level.

Computed properties:
E_form: -0.44 eV/atom
magnetic moment: 0.0 μB per cell

```
Sc2Be2ZnNi5
1.0
8.7161 0.0000 0.0000
0.0000 8.7161 0.0000
0.0000 0.0000 3.2488
Sc Be Zn Ni
4 4 2 10
direct
0.1787 0.3213 0.0000
0.3213 0.8213 0.0000
0.6787 0.1787 0.0000
0.8213 0.6787 0.0000
0.1163 0.6163 0.0000
0.3837 0.1163 0.0000
0.6163 0.8837 0.0000
0.8837 0.3837 0.0000
0.0000 0.0000 0.0000
0.5000 0.5000 0.0000
0.0000 0.5000 0.5000
0.0669 0.7845 0.5000
0.2155 0.0669 0.5000
0.2845 0.5669 0.5000
0.4331 0.2845 0.5000
0.5000 0.0000 0.5000
0.5669 0.7155 0.5000
0.7155 0.4331 0.5000
0.7845 0.9331 0.5000
0.9331 0.2155 0.5000
```

***

(4)
Below is an optimized crystal structure of Sc2BeZn2Ni5, with properties calculated at the PBE level.

Computed properties:
E_form: -0.24 eV/atom
magnetic moment: 0.0 μB per cell

```
Sc2BeZn2Ni5
1.0
9.1887 0.0000 0.0000
0.0000 9.1887 0.0000
0.0000 0.0000 3.1908
Sc Be Zn Ni
4 2 4 10
direct
0.1695 0.3305 0.0000
0.3305 0.8305 0.0000
0.6695 0.1695 0.0000
0.8305 0.6695 0.0000
0.0000 0.0000 0.0000
0.5000 0.5000 0.0000
0.1321 0.6321 0.0000
0.3679 0.1321 0.0000
0.6321 0.8679 0.0000
0.8679 0.3679 0.0000
0.0000 0.5000 0.5000
0.0519 0.8140 0.5000
0.1860 0.0519 0.5000
0.3140 0.5519 0.5000
0.4481 0.3140 0.5000
0.5000 0.0000 0.5000
0.5519 0.6860 0.5000
0.6860 0.4481 0.5000
0.8140 0.9481 0.5000
0.9481 0.1860 0.5000
```

***

(5)
Below is an optimized crystal structure of ZrScBeNi, with properties calculated at the PBE level.

Computed properties:
E_form: -0.20 eV/atom
magnetic moment: 0.0 μB per cell

```
ZrScBeNi
1.0
0.0000 3.1913 3.1913
3.1913 0.0000 3.1913
3.1913 3.1913 0.0000
Zr Sc Be Ni
1 1 1 1
direct
0.0000 0.0000 0.0000
0.5000 0.5000 0.5000
0.7500 0.7500 0.7500
0.2500 0.2500 0.2500
```

***

(6)
Below is an optimized crystal structure of Be2NiSe, with properties calculated at the PBE level.

Computed properties:
magnetic moment: 0.0 μB per cell
formation energy without anion corrections: 0.24 eV/atom

```
Be2NiSe
1.0
2.3914 -3.9592 0.0000
2.3914 3.9592 0.0000
-2.0186 0.0000 2.6615
Be Ni Se
2 1 1
direct
0.0000 0.5000 0.0000
0.5000 0.0000 0.0000
0.0000 0.0000 0.0000
0.5000 0.5000 0.0000
```